The following is a DFT calculation (PBE) of a relaxed Pm2DySn crystal.

Results
As for the formation energy: -261 meV per atom. The symmetry is Fm-3m (225). Its calculated total energy is -19.152 eV per cell. The value obtained for the energy above the most stable polymorph in this dataset is 0.176 eV/atom.

Unit cell a=5.502 b=5.502 c=5.502 alpha=60.00 beta=60.00 gamma=60.00
Sites, in units of the cell vectors:
Pm: 0.250 0.250 0.250
Pm: 0.750 0.750 0.750
Dy: 0.000 0.000 0.000
Sn: 0.500 0.500 0.500



The following is a DFT calculation (PBE) of a relaxed Pm12DySn7 crystal.

Results
As for the formation energy: -426 meV per atom. The symmetry is R-3m (166). Its calculated total energy is -98.141 eV per cell.

Unit cell a=9.516 b=9.516 c=9.516 alpha=110.76 beta=110.76 gamma=110.76
Sites, in units of the cell vectors:
Sn: 0.136 0.445 0.136
Sn: 0.136 0.136 0.445
Sn: 0.864 0.864 0.555
Sn: 0.445 0.136 0.136
Sn: 0.555 0.864 0.864
Sn: 0.500 0.500 0.500
Sn: 0.864 0.555 0.864
Dy: 0.000 0.000 0.000
Pm: 0.726 0.000 0.274
Pm: 0.495 0.163 0.495
Pm: 0.274 0.726 0.000
Pm: 0.000 0.274 0.726
Pm: 0.505 0.505 0.837
Pm: 0.163 0.495 0.495
Pm: 0.726 0.274 0.000
Pm: 0.274 0.000 0.726
Pm: 0.505 0.837 0.505
Pm: 0.837 0.505 0.505
Pm: 0.495 0.495 0.163
Pm: 0.000 0.726 0.274



The following is a DFT calculation (PBE) of a relaxed Pm6DySn3 crystal.

Results
As for the formation energy: -362 meV per atom. The symmetry is Cmc2_1 (36). Its calculated total energy is -97.466 eV per cell.

Unit cell a=7.750 b=9.453 c=9.453 alpha=108.70 beta=90.00 gamma=90.00
Sites, in units of the cell vectors:
Pm: 0.630 0.286 0.714
Pm: 0.607 0.673 0.747
Pm: 0.107 0.747 0.673
Pm: 0.290 0.543 0.936
Pm: 0.779 0.048 0.952
Pm: 0.290 0.064 0.457
Pm: 0.130 0.714 0.286
Pm: 0.790 0.457 0.064
Pm: 0.607 0.253 0.327
Pm: 0.790 0.936 0.543
Pm: 0.107 0.327 0.253
Pm: 0.279 0.952 0.048
Sn: 0.934 0.736 0.980
Sn: 0.311 0.422 0.578
Sn: 0.811 0.578 0.422
Sn: 0.934 0.020 0.264
Sn: 0.434 0.980 0.736
Sn: 0.434 0.264 0.020
Dy: 0.605 0.795 0.205
Dy: 0.105 0.205 0.795



The following is a DFT calculation (PBE) of a relaxed PmDy2Sn crystal.

Results
As for the formation energy: -410 meV per atom. The symmetry is P2_1/m (11). Its calculated total energy is -39.199 eV per cell. The value obtained for the energy above the most stable polymorph in this dataset is 0.015 eV/atom.

Unit cell a=4.654 b=4.701 c=11.522 alpha=90.00 beta=101.61 gamma=90.00
Sites, in units of the cell vectors:
Dy: 0.559 0.250 0.118
Dy: 0.064 0.750 0.127
Dy: 0.936 0.250 0.873
Dy: 0.441 0.750 0.882
Pm: 0.693 0.750 0.387
Pm: 0.307 0.250 0.613
Sn: 0.837 0.750 0.672
Sn: 0.163 0.250 0.328



The following is a DFT calculation (PBE) of a relaxed PmDySn crystal.

Results
As for the formation energy: -368 meV per atom. The symmetry is P3m1 (156). Its calculated total energy is -14.459 eV per cell. The value obtained for the energy above the most stable polymorph in this dataset is 0.243 eV/atom.

Unit cell a=3.935 b=5.139 c=5.139 alpha=120.00 beta=90.00 gamma=90.00
Sites, in units of the cell vectors:
Pm: 0.297 0.667 0.333
Sn: 0.962 0.000 0.000
Dy: 0.741 0.333 0.667



The following is a DFT calculation (PBE) of a relaxed Pm2DySn crystal.

Results
As for the formation energy: -57 meV per atom. The symmetry is Cmcm (63). Its calculated total energy is -36.668 eV per cell. The value obtained for the energy above the most stable polymorph in this dataset is 0.380 eV/atom.

Unit cell a=3.454 b=5.615 c=13.706 alpha=90.00 beta=97.24 gamma=90.00
Sites, in units of the cell vectors:
Pm: 0.811 0.750 0.623
Pm: 0.189 0.250 0.377
Pm: 0.095 0.750 0.189
Pm: 0.905 0.250 0.811
Sn: 0.695 0.750 0.391
Sn: 0.305 0.250 0.609
Dy: 0.972 0.750 0.944
Dy: 0.028 0.250 0.056